1.
Density functional theory data (PBEsol) for a relaxed SiTeO2 crystal.

## Properties
* V: 68 Å³/f.u.
* space group: R-3m (166)

The structure in extended XYZ format:
```
4
Lattice="1.424 0.822 9.624 -1.424 0.822 9.624 0.000 -1.644 9.624" Properties=species:S:1:pos:R:3 pbc="T T T"
Si 0.000 0.000 0.000
Te 0.000 0.000 14.436
O 0.000 0.000 10.491
O 0.000 0.000 18.381
```

2.
Density functional theory data (PBEsol) for a relaxed TiSi4O10 crystal.

## Properties
* V: 200 Å³/f.u.
* space group: P4/ncc (130)

The structure in extended XYZ format:
```
60
Lattice="7.548 0.000 0.000 0.000 7.548 0.000 0.000 0.000 14.016" Properties=species:S:1:pos:R:3 pbc="T T T"
Ti 1.887 1.887 0.519
Ti 1.887 1.887 7.527
Ti 5.661 5.661 6.489
Ti 5.661 5.661 13.497
Si 0.298 0.302 5.065
Si 0.302 0.298 12.073
Si 0.302 3.476 5.065
Si 0.298 3.472 12.073
Si 3.472 0.298 5.065
Si 3.476 0.302 12.073
Si 3.476 3.472 5.065
Si 3.472 3.476 12.073
Si 4.076 4.072 1.943
Si 4.072 4.076 8.952
Si 4.072 7.245 1.943
Si 4.076 7.249 8.952
Si 7.249 4.076 1.943
Si 7.245 4.072 8.952
Si 7.245 7.249 1.943
Si 7.249 7.245 8.952
O 7.546 0.002 3.504
O 0.002 7.546 10.512
O 0.002 3.776 3.504
O 7.546 3.772 10.512
O 0.071 1.889 5.408
O 0.071 1.885 12.416
O 0.626 0.634 1.041
O 0.626 3.139 8.049
O 0.634 0.626 8.049
O 0.634 3.148 1.041
O 1.885 0.071 5.408
O 1.889 0.071 12.416
O 1.889 3.703 5.408
O 1.885 3.703 12.416
O 3.139 0.626 1.041
O 3.139 3.148 8.049
O 3.148 0.634 8.049
O 3.148 3.139 1.041
O 3.703 1.885 5.408
O 3.703 1.889 12.416
O 3.772 7.546 3.504
O 3.776 0.002 10.512
O 3.776 3.772 3.504
O 3.772 3.776 10.512
O 3.845 5.658 1.600
O 3.845 5.663 8.608
O 4.400 4.408 12.975
O 4.400 6.913 5.967
O 4.408 4.400 5.967
O 4.408 6.922 12.975
O 5.663 3.845 1.600
O 5.658 3.845 8.608
O 5.658 7.476 1.600
O 5.663 7.476 8.608
O 6.913 4.400 12.975
O 6.913 6.922 5.967
O 6.922 4.408 5.967
O 6.922 6.913 12.975
O 7.476 5.663 1.600
O 7.476 5.658 8.608
```

3.
Density functional theory data (PBEsol) for a relaxed TiSi2O6 crystal.

## Properties
* V: 106 Å³/f.u.
* space group: C2/c (15)

The structure in extended XYZ format:
```
18
Lattice="4.821 -4.369 0.000 4.821 4.369 0.000 -1.810 0.000 5.013" Properties=species:S:1:pos:R:3 pbc="T T T"
Ti 3.464 3.433 3.760
Ti 4.369 -3.433 1.253
Si 1.514 0.731 3.749
Si 2.419 -0.731 1.242
Si 5.413 0.731 3.772
Si 6.318 -0.731 1.265
O -0.033 0.603 3.171
O 2.070 2.259 3.871
O 0.872 -0.603 0.664
O 3.377 0.083 0.216
O 2.472 -0.083 2.723
O 4.857 2.259 3.649
O 2.975 -2.259 1.364
O 5.360 0.083 2.291
O 4.455 -0.083 4.797
O 6.960 0.603 4.350
O 5.763 -2.259 1.143
O 7.865 -0.603 1.843
```

4.
Density functional theory data (PBEsol) for a relaxed Ti2Si2O crystal.

## Properties
* V: 77 Å³/f.u.
* space group: I4/mmm (139)

The structure in extended XYZ format:
```
5
Lattice="-2.504 2.504 3.089 2.504 -2.504 3.089 2.504 2.504 -3.089" Properties=species:S:1:pos:R:3 pbc="T T T"
Ti 2.504 0.000 1.544
Ti 0.000 2.504 1.544
Si 0.000 0.000 1.308
Si 0.000 0.000 4.869
O 0.000 0.000 3.089
```

5.
Density functional theory data (PBEsol) for a relaxed Ti2SiO crystal.

## Properties
* V: 52 Å³/f.u.
* space group: Fm-3m (225)

The structure in extended XYZ format:
```
4
Lattice="0.000 2.960 2.960 2.960 0.000 2.960 2.960 2.960 0.000" Properties=species:S:1:pos:R:3 pbc="T T T"
Ti 1.480 1.480 1.480
Ti 4.440 4.440 4.440
Si 0.000 0.000 0.000
O 2.960 2.960 2.960
```

6.
Density functional theory data (PBEsol) for a relaxed TiZnSi4O10 crystal.

## Properties
* V: 196 Å³/f.u.
* space group: P4/ncc (130)

The structure in extended XYZ format:
```
64
Lattice="7.245 0.000 0.000 0.000 7.245 0.000 0.000 0.000 14.938" Properties=species:S:1:pos:R:3 pbc="T T T"
Ti 1.811 1.811 1.000
Ti 1.811 1.811 8.469
Ti 5.433 5.433 6.469
Ti 5.433 5.433 13.938
Zn 1.811 5.433 0.000
Zn 1.811 5.433 7.469
Zn 5.433 1.811 0.000
Zn 5.433 1.811 7.469
Si 0.106 4.312 2.179
Si 0.106 6.555 9.648
Si 0.690 3.728 5.290
Si 0.690 7.139 12.759
Si 2.933 3.728 12.759
Si 2.933 7.139 5.290
Si 3.516 4.312 9.648
Si 3.516 6.555 2.179
Si 3.728 0.690 12.759
Si 3.728 2.933 5.290
Si 4.312 0.106 9.648
Si 4.312 3.516 2.179
Si 6.555 0.106 2.179
Si 6.555 3.516 9.648
Si 7.139 0.690 5.290
Si 7.139 2.933 12.759
O 0.006 1.336 13.043
O 0.006 2.286 5.574
O 0.158 4.832 6.359
O 0.158 6.035 13.828
O 0.495 4.118 3.735
O 0.495 6.749 11.204
O 1.210 3.780 1.110
O 1.210 7.086 8.579
O 1.336 0.006 5.574
O 1.336 3.616 13.043
O 2.286 0.006 13.043
O 2.286 3.616 5.574
O 2.412 3.780 8.579
O 2.412 7.086 1.110
O 3.127 4.118 11.204
O 3.127 6.749 3.735
O 3.464 4.832 13.828
O 3.464 6.035 6.359
O 3.616 1.336 5.574
O 3.616 2.286 13.043
O 3.628 4.958 1.895
O 3.628 5.908 9.364
O 3.780 1.210 8.579
O 3.780 2.412 1.110
O 4.118 0.495 11.204
O 4.118 3.127 3.735
O 4.832 0.158 13.828
O 4.832 3.464 6.359
O 4.958 3.628 9.364
O 4.958 7.239 1.895
O 5.908 3.628 1.895
O 5.908 7.239 9.364
O 6.035 0.158 6.359
O 6.035 3.464 13.828
O 6.749 0.495 3.735
O 6.749 3.127 11.204
O 7.086 1.210 1.110
O 7.086 2.412 8.579
O 7.239 4.958 9.364
O 7.239 5.908 1.895
```

7.
Density functional theory data (PBEsol) for a relaxed TiZnSiO5 crystal.

## Properties
* V: 94 Å³/f.u.
* space group: Cc (9)

The structure in extended XYZ format:
```
16
Lattice="3.566 -4.041 0.000 3.566 4.041 0.000 -3.203 0.000 6.556" Properties=species:S:1:pos:R:3 pbc="T T T"
Ti 1.965 3.979 3.278
Ti 3.566 -3.979 0.000
Zn 2.195 1.702 0.947
Zn 0.594 -1.702 4.225
Si 1.207 1.232 5.092
Si 2.808 -1.232 1.814
O 2.800 3.332 1.804
O 0.289 2.201 6.052
O 0.289 0.212 4.209
O 2.141 2.205 4.156
O 1.891 -0.212 0.931
O 2.183 0.335 6.039
O 1.891 -2.201 2.774
O 3.784 -0.335 2.761
O 3.743 -2.205 0.878
O 1.199 -3.332 5.082
```

8.
Density functional theory data (PBEsol) for a relaxed Tl3SiO crystal.

## Properties
* V: 115 Å³/f.u.
* space group: Pm-3m (221)

The structure in extended XYZ format:
```
5
Lattice="4.868 0.000 0.000 0.000 4.868 0.000 0.000 0.000 4.868" Properties=species:S:1:pos:R:3 pbc="T T T"
Tl 0.000 0.000 2.434
Tl 0.000 2.434 0.000
Tl 2.434 0.000 0.000
Si 2.434 2.434 2.434
O 0.000 0.000 0.000
```

9.
Density functional theory data (PBEsol) for a relaxed Tl6Si2O7 crystal.

## Properties
* V: 317 Å³/f.u.
* space group: P-3 (147)

The structure in extended XYZ format:
```
30
Lattice="9.605 0.000 0.000 -4.802 8.318 0.000 0.000 0.000 7.939" Properties=species:S:1:pos:R:3 pbc="T T T"
Tl -1.344 2.904 1.048
Tl -1.232 2.938 4.922
Tl -1.642 7.916 4.922
Tl -1.616 8.030 1.048
Tl 1.843 2.615 6.891
Tl 1.929 2.536 3.017
Tl 2.874 5.782 4.922
Tl 2.960 5.703 1.048
Tl 6.419 0.288 6.891
Tl 6.444 0.402 3.017
Tl 6.034 5.380 3.017
Tl 6.146 5.415 6.891
Si 0.000 5.545 2.650
Si 0.000 5.545 7.266
Si 4.803 2.773 0.673
Si 4.803 2.773 5.288
O -1.237 4.569 3.090
O -1.207 4.532 6.822
O 0.000 5.545 0.988
O -0.275 7.098 6.822
O -0.227 7.105 3.090
O 1.464 4.962 3.090
O 1.482 5.007 6.822
O 3.321 3.311 1.116
O 3.338 3.356 4.849
O 5.029 1.213 4.849
O 5.077 1.220 1.116
O 4.803 2.773 6.951
O 6.009 3.787 1.116
O 6.040 3.749 4.849
```

10.
Density functional theory data (PBEsol) for a relaxed V2SiO7 crystal.

## Properties
* V: 138 Å³/f.u.
* space group: Pa-3 (205)

The structure in extended XYZ format:
```
40
Lattice="8.195 0.000 0.000 0.000 8.195 0.000 0.000 0.000 8.195" Properties=species:S:1:pos:R:3 pbc="T T T"
V 1.013 1.013 1.013
V 1.013 3.085 5.110
V 3.085 5.110 1.013
V 3.085 7.183 5.110
V 5.110 1.013 3.085
V 5.110 3.085 7.183
V 7.183 5.110 3.085
V 7.183 7.183 7.183
Si 0.000 0.000 4.098
Si 0.000 4.098 0.000
Si 4.098 0.000 0.000
Si 4.098 4.098 4.098
O 0.000 0.000 0.000
O 0.000 4.098 4.098
O 0.510 1.487 4.904
O 0.510 2.611 0.806
O 0.806 0.510 2.611
O 0.806 3.588 6.709
O 1.487 4.904 0.510
O 1.487 7.389 4.607
O 2.611 0.806 0.510
O 2.611 3.292 4.607
O 3.292 4.607 2.611
O 3.292 7.686 6.709
O 3.588 5.584 4.904
O 3.588 6.709 0.806
O 4.098 0.000 4.098
O 4.098 4.098 0.000
O 4.607 1.487 7.389
O 4.607 2.611 3.292
O 4.904 0.510 1.487
O 4.904 3.588 5.584
O 5.584 4.904 3.588
O 5.584 7.389 7.686
O 6.709 0.806 3.588
O 6.709 3.292 7.686
O 7.389 4.607 1.487
O 7.389 7.686 5.584
O 7.686 5.584 7.389
O 7.686 6.709 3.292
```

11.
Density functional theory data (PBEsol) for a relaxed V2SiO4 crystal.

## Properties
* V: 65 Å³/f.u.
* space group: Fd-3m (227)

The structure in extended XYZ format:
```
14
Lattice="0.000 4.020 4.020 4.020 0.000 4.020 4.020 4.020 0.000" Properties=species:S:1:pos:R:3 pbc="T T T"
V 0.000 0.000 0.000
V 2.010 2.010 0.000
V 2.010 0.000 2.010
V 0.000 2.010 2.010
Si 3.015 3.015 3.015
Si 5.026 5.026 5.026
O 2.073 2.073 2.073
O 3.957 3.957 2.073
O 3.957 2.073 3.957
O 5.968 4.084 4.084
O 2.073 3.957 3.957
O 4.084 5.968 4.084
O 4.084 4.084 5.968
O 5.968 5.968 5.968
```

12.
Density functional theory data (PBEsol) for a relaxed VSi4O10 crystal.

## Properties
* V: 211 Å³/f.u.
* space group: P4/ncc (130)

The structure in extended XYZ format:
```
60
Lattice="7.424 0.000 0.000 0.000 7.424 0.000 0.000 0.000 15.329" Properties=species:S:1:pos:R:3 pbc="T T T"
V 1.856 1.856 1.107
V 1.856 1.856 8.772
V 5.568 5.568 6.557
V 5.568 5.568 14.222
Si 0.124 0.488 5.390
Si 0.124 3.223 13.055
Si 0.488 0.124 13.055
Si 0.488 3.588 5.390
Si 3.223 0.124 5.390
Si 3.223 3.588 13.055
Si 3.588 0.488 13.055
Si 3.588 3.223 5.390
Si 3.836 4.200 9.939
Si 3.836 6.935 2.274
Si 4.200 3.836 2.274
Si 4.200 7.300 9.939
Si 6.935 3.836 9.939
Si 6.935 7.300 2.274
Si 7.300 4.200 2.274
Si 7.300 6.935 9.939
O 7.423 1.639 13.382
O 7.423 2.073 5.717
O 0.000 5.350 9.612
O 0.000 5.785 1.948
O 0.219 3.931 3.832
O 0.219 7.205 11.497
O 0.328 0.934 1.358
O 0.328 2.778 9.022
O 0.934 0.328 9.022
O 0.934 3.384 1.358
O 1.639 7.423 5.717
O 1.639 3.712 13.382
O 2.073 7.423 13.382
O 2.073 3.712 5.717
O 2.778 0.328 1.358
O 2.778 3.384 9.022
O 3.384 0.934 9.022
O 3.384 2.778 1.358
O 3.493 3.931 11.497
O 3.493 7.205 3.832
O 3.712 1.639 5.717
O 3.712 2.073 13.382
O 3.711 5.350 1.948
O 3.711 5.785 9.612
O 3.931 0.219 11.497
O 3.931 3.493 3.832
O 4.040 4.646 13.971
O 4.040 6.490 6.307
O 4.646 4.040 6.307
O 4.646 7.095 13.971
O 5.350 0.000 1.948
O 5.350 3.711 9.612
O 5.785 0.000 9.612
O 5.785 3.711 1.948
O 6.490 4.040 13.971
O 6.490 7.095 6.307
O 7.095 4.646 6.307
O 7.095 6.490 13.971
O 7.205 0.219 3.832
O 7.205 3.493 11.497
```

no.,magnetic moment (μB per formula unit),E_form (uncorrected) (meV/atom)
1,0.00,-1605
2,0.00,-2686
3,0.00,-2869
4,0.00,-189
5,0.00,-641
6,1.99,-2452
7,0.00,-2515
8,0.00,227
9,0.00,-1538
10,0.00,-2415
11,0.00,-2157
12,1.00,-2550